No. 1
# MgMn3P4O14 (meta-GGA SCAN, PBEsol geometry)
data_MgMn3P4O14
_space_group_name_H-M_alt 'P 1 21/c 1'
_space_group_IT_number 14
_space_group_name_Hall '-P 2ybc'
_cell_length_a 7.411
_cell_length_b 7.403
_cell_length_c 9.789
_cell_angle_alpha 90.00
_cell_angle_beta 113.68
_cell_angle_gamma 90.00
loop_
_atom_site_label
_atom_site_type_symbol
_atom_site_fract_x
_atom_site_fract_y
_atom_site_fract_z
_atom_site_occupancy
Mg1 Mg 0.000 0.000 0.000 1
Mn1 Mn 0.310 0.121 0.476 1
Mn2 Mn 0.500 0.000 0.000 1
P1 P 0.089 0.100 0.697 1
P2 P 0.358 0.703 0.183 1
O1 O 0.121 0.250 0.103 1
O2 O 0.121 0.558 0.826 1
O3 O 0.162 0.585 0.148 1
O4 O 0.217 0.123 0.867 1
O5 O 0.285 0.619 0.600 1
O6 O 0.463 0.714 0.353 1
O7 O 0.476 0.594 0.115 1
# Calculated volume (Å³/cell): 491.9
# D(E_F) (states/eV/f.u.): 0.00
# Total magnetization (μB per atom): 0.6818
# Raw formation energy (eV/f.u.): -54.4

No. 2
# TaAlFe6 (meta-GGA SCAN, PBEsol geometry)
data_TaAlFe6
_space_group_name_H-M_alt 'C m m m'
_space_group_IT_number 65
_space_group_name_Hall '-C 2 2'
_cell_length_a 6.022
_cell_length_b 11.224
_cell_length_c 11.179
_cell_angle_alpha 90.00
_cell_angle_beta 90.00
_cell_angle_gamma 90.00
loop_
_atom_site_label
_atom_site_type_symbol
_atom_site_fract_x
_atom_site_fract_y
_atom_site_fract_z
_atom_site_occupancy
Ta1 Ta 0.000 0.000 0.247 1
Ta2 Ta 0.000 0.247 0.500 1
Al1 Al 0.000 0.249 0.000 1
Al2 Al 0.000 0.500 0.246 1
Fe1 Fe 0.000 0.000 0.000 1
Fe2 Fe 0.000 0.000 0.500 1
Fe3 Fe 0.000 0.253 0.244 1
Fe4 Fe 0.000 0.500 0.000 1
Fe5 Fe 0.000 0.500 0.500 1
Fe6 Fe 0.245 0.375 0.373 1
Fe7 Fe 0.248 0.374 0.122 1
# Energy relative to the elements (kJ/mol of atoms): -12.8
# Calculated volume (Å³/cell): 755.5
# D(E_F) (states/eV/f.u.): 5.14
# Total magnetization (μB per atom): 1.4872

No. 3
# LaCu2Tc (meta-GGA SCAN, PBEsol geometry)
data_LaCu2Tc
_space_group_name_H-M_alt 'I m m 2'
_space_group_IT_number 44
_space_group_name_Hall 'I 2 -2'
_cell_length_a 3.526
_cell_length_b 4.533
_cell_length_c 8.246
_cell_angle_alpha 90.00
_cell_angle_beta 90.00
_cell_angle_gamma 90.00
loop_
_atom_site_label
_atom_site_type_symbol
_atom_site_fract_x
_atom_site_fract_y
_atom_site_fract_z
_atom_site_occupancy
La1 La 0.000 0.000 0.000 1
Cu1 Cu 0.000 0.000 0.508 1
Cu2 Cu 0.000 0.500 0.228 1
Tc1 Tc 0.000 0.500 0.757 1
# Energy relative to the elements (kJ/mol of atoms): 40.4
# Calculated volume (Å³/cell): 131.8
# D(E_F) (states/eV/f.u.): 2.48
# Total magnetization (μB per atom): 0.0000
# ΔE to the lowest computed polymorph (kJ/mol of formula units): 21

No. 4
# CaGaSeBr2 (meta-GGA SCAN, PBEsol geometry)
data_CaGaSeBr2
_space_group_name_H-M_alt 'P 4/m m m'
_space_group_IT_number 123
_space_group_name_Hall '-P 4 2'
_cell_length_a 5.140
_cell_length_b 5.140
_cell_length_c 5.082
_cell_angle_alpha 90.00
_cell_angle_beta 90.00
_cell_angle_gamma 90.00
loop_
_atom_site_label
_atom_site_type_symbol
_atom_site_fract_x
_atom_site_fract_y
_atom_site_fract_z
_atom_site_occupancy
Ca1 Ca 0.000 0.000 0.000 1
Ga1 Ga 0.500 0.500 0.500 1
Se1 Se 0.500 0.500 0.000 1
Br1 Br 0.000 0.500 0.500 1
# Calculated volume (Å³/cell): 134.3
# D(E_F) (states/eV/f.u.): 0.66
# Total magnetization (μB per atom): 0.0000
# Raw formation energy (eV/f.u.): -4.8

No. 5
# NiRuPt2 (meta-GGA SCAN, PBEsol geometry)
data_NiRuPt2
_space_group_name_H-M_alt 'I 4/m m m'
_space_group_IT_number 139
_space_group_name_Hall '-I 4 2'
_cell_length_a 3.766
_cell_length_b 3.766
_cell_length_c 7.583
_cell_angle_alpha 90.00
_cell_angle_beta 90.00
_cell_angle_gamma 90.00
loop_
_atom_site_label
_atom_site_type_symbol
_atom_site_fract_x
_atom_site_fract_y
_atom_site_fract_z
_atom_site_occupancy
Ni1 Ni 0.000 0.000 0.000 1
Ru1 Ru 0.000 0.000 0.500 1
Pt1 Pt 0.000 0.500 0.250 1
# Energy relative to the elements (kJ/mol of atoms): -3.5
# Calculated volume (Å³/cell): 107.6
# D(E_F) (states/eV/f.u.): 3.97
# Total magnetization (μB per atom): 0.0003
# ΔE to the lowest computed polymorph (kJ/mol of formula units): 14

No. 6
# Y2MnRu (meta-GGA SCAN, PBEsol geometry)
data_Y2MnRu
_space_group_name_H-M_alt 'F -4 3 m'
_space_group_IT_number 216
_space_group_name_Hall 'F -4 2 3'
_cell_length_a 6.733
_cell_length_b 6.733
_cell_length_c 6.733
_cell_angle_alpha 90.00
_cell_angle_beta 90.00
_cell_angle_gamma 90.00
loop_
_atom_site_label
_atom_site_type_symbol
_atom_site_fract_x
_atom_site_fract_y
_atom_site_fract_z
_atom_site_occupancy
Y1 Y 0.000 0.000 0.000 1
Y2 Y 0.250 0.250 0.250 1
Mn1 Mn 0.000 0.000 0.500 1
Ru1 Ru 0.250 0.250 0.750 1
# Energy relative to the elements (kJ/mol of atoms): 1.8
# Calculated volume (Å³/cell): 305.2
# D(E_F) (states/eV/f.u.): 3.74
# Total magnetization (μB per atom): 1.2341

No. 7
# Na2Nb3O6 (meta-GGA SCAN, PBEsol geometry)
data_Na2Nb3O6
_space_group_name_H-M_alt 'P -3 1 c'
_space_group_IT_number 163
_space_group_name_Hall '-P 3 2c'
_cell_length_a 5.1257
_cell_length_b 5.1257
_cell_length_c 23.3650
_cell_angle_alpha 90.00
_cell_angle_beta 90.00
_cell_angle_gamma 120.00
loop_
_atom_site_label
_atom_site_type_symbol
_atom_site_fract_x
_atom_site_fract_y
_atom_site_fract_z
_atom_site_occupancy
Na1 Na 0.0000 0.0000 0.2500 1
Na2 Na 0.3333 0.6667 0.0001 1
Na3 Na 0.3333 0.6667 0.2500 1
Nb1 Nb 0.0032 0.3333 0.8750 1
O1 O 0.0014 0.3381 0.0714 1
O2 O 0.0047 0.3347 0.1786 1
# Calculated volume (Å³/cell): 531.6
# D(E_F) (states/eV/f.u.): 3.98
# Total magnetization (μB per atom): 0.0000
# Raw formation energy (eV/f.u.): -27.2

No. 8
# Cu3Pt (meta-GGA SCAN, PBEsol geometry)
data_Cu3Pt
_space_group_name_H-M_alt 'R -3 m'
_space_group_IT_number 166
_space_group_name_Hall '-R 3 2"'
_cell_length_a 2.6339
_cell_length_b 2.6339
_cell_length_c 24.8365
_cell_angle_alpha 90.00
_cell_angle_beta 90.00
_cell_angle_gamma 120.00
loop_
_atom_site_label
_atom_site_type_symbol
_atom_site_fract_x
_atom_site_fract_y
_atom_site_fract_z
_atom_site_occupancy
Cu1 Cu 0.0000 0.0000 0.0000 1
Cu2 Cu 0.0000 0.0000 0.2539 1
Pt1 Pt 0.0000 0.0000 0.5000 1
# Energy relative to the elements (kJ/mol of atoms): -7.3
# Calculated volume (Å³/cell): 149.2
# D(E_F) (states/eV/f.u.): 1.53
# Total magnetization (μB per atom): 0.0000

No. 9
# RbNiAsF2 (meta-GGA SCAN, PBEsol geometry)
data_RbNiAsF2
_space_group_name_H-M_alt 'P 4/m m m'
_space_group_IT_number 123
_space_group_name_Hall '-P 4 2'
_cell_length_a 4.164
_cell_length_b 4.164
_cell_length_c 6.958
_cell_angle_alpha 90.00
_cell_angle_beta 90.00
_cell_angle_gamma 90.00
loop_
_atom_site_label
_atom_site_type_symbol
_atom_site_fract_x
_atom_site_fract_y
_atom_site_fract_z
_atom_site_occupancy
Rb1 Rb 0.000 0.000 0.000 1
Ni1 Ni 0.500 0.500 0.000 1
As1 As 0.000 0.000 0.500 1
F1 F 0.000 0.500 0.500 1
# Calculated volume (Å³/cell): 120.6
# D(E_F) (states/eV/f.u.): 3.38
# Total magnetization (μB per atom): 0.1366
# Raw formation energy (eV/f.u.): -1.3

No. 10
# Ti3CI (meta-GGA SCAN, PBEsol geometry)
data_Ti3CI
_space_group_name_H-M_alt 'P m -3 m'
_space_group_IT_number 221
_space_group_name_Hall '-P 4 2 3'
_cell_length_a 4.912
_cell_length_b 4.912
_cell_length_c 4.912
_cell_angle_alpha 90.00
_cell_angle_beta 90.00
_cell_angle_gamma 90.00
loop_
_atom_site_label
_atom_site_type_symbol
_atom_site_fract_x
_atom_site_fract_y
_atom_site_fract_z
_atom_site_occupancy
Ti1 Ti 0.000 0.000 0.500 1
C1 C 0.500 0.500 0.500 1
I1 I 0.000 0.000 0.000 1
# Calculated volume (Å³/cell): 118.5
# D(E_F) (states/eV/f.u.): 4.33
# Total magnetization (μB per atom): 1.0792
# Raw formation energy (eV/f.u.): 11.3

No. 11
# ErMo6Se8 (meta-GGA SCAN, PBEsol geometry)
data_ErMo6Se8
_space_group_name_H-M_alt 'R -3'
_space_group_IT_number 148
_space_group_name_Hall '-R 3'
_cell_length_a 9.2981
_cell_length_b 9.2981
_cell_length_c 11.7201
_cell_angle_alpha 90.00
_cell_angle_beta 90.00
_cell_angle_gamma 120.00
loop_
_atom_site_label
_atom_site_type_symbol
_atom_site_fract_x
_atom_site_fract_y
_atom_site_fract_z
_atom_site_occupancy
Er1 Er 0.0000 0.0000 0.0000 1
Mo1 Mo 0.0197 0.1743 0.4044 1
Se1 Se 0.0000 0.0000 0.2359 1
Se2 Se 0.0104 0.6288 0.7509 1
# Calculated volume (Å³/cell): 877.5
# D(E_F) (states/eV/f.u.): 6.46
# Total magnetization (μB per atom): 0.0000
# Raw formation energy (eV/f.u.): -11.5